First-principles (PBE+U) data for an optimized crystal structure of CaMg2WO6, as listed in the Alexandria database.

Structure (POSCAR):
```
CaMg2WO6
1.0
5.352 0.000 0.000
2.676 4.635 0.000
2.676 1.545 4.836
Ca Mg W O
1 2 1 6
Cartesian
8.028 4.635 2.852
5.352 3.090 2.090
2.676 1.545 4.571
2.676 1.545 0.191
4.368 1.481 1.135
4.450 4.747 1.134
7.238 3.043 1.135
5.957 4.462 3.716
6.238 1.881 3.716
3.862 2.928 3.716
```

- E (Ha/atom) = -0.2486
- magnetization (μB per atom) = 0.00
- calculated volume (Å³ per atom) = 12.00

=====

First-principles (PBE+U) data for an optimized crystal structure of CaMgW2O8, as listed in the Alexandria database.

Structure (POSCAR):
```
CaMgW2O8
1.0
6.102 0.189 0.000
-2.537 5.553 0.000
-1.783 -2.871 5.085
Ca Mg W O
1 1 2 8
Cartesian
0.000 0.000 0.000
-1.269 2.777 2.542
3.051 0.094 2.542
1.783 2.871 0.000
1.609 -0.340 1.547
0.328 2.493 1.036
0.306 -1.472 4.048
3.301 -1.391 3.538
3.237 3.249 1.036
4.493 0.529 1.547
2.801 1.580 3.538
-0.306 1.472 4.048
```

- E (Ha/atom) = -0.2596
- magnetization (μB per atom) = 0.00
- calculated volume (Å³ per atom) = 14.56